Entry 1:
Crystalline Li2AgAu at its relaxed geometry. Source: Alexandria, functional PBE-GGA.

Final energy = -2.83 eV per atom
Symmetry = F-43m, No. 216
Spin magnetization = 0.00 μB per formula unit
Energy above the most stable polymorph in this dataset = 0.052 eV per atom

a b c (Å): 4.547 4.547 4.547
angles (deg): 60.00 60.00 60.00
Fractional coordinates of all 4 atoms:
Li  0.000  0.000  0.000
Li  0.250  0.250  0.250
Ag  0.500  0.500  0.500
Au  0.750  0.750  0.750

***

Entry 2:
Crystalline Hf4Zn3Mo at its relaxed geometry. Source: Alexandria, functional PBE-GGA.

Final energy = -7.01 eV per atom
Symmetry = P4/mmm, No. 123
Spin magnetization = 0.00 μB per formula unit

a b c (Å): 3.361 3.361 12.945
angles (deg): 90.00 90.00 90.00
Fractional coordinates of all 8 atoms:
Hf  0.000  0.000  0.120
Hf  0.000  0.000  0.375
Hf  0.000  0.000  0.625
Hf  0.000  0.000  0.880
Zn  0.500  0.500  0.250
Zn  0.500  0.500  0.500
Zn  0.500  0.500  0.750
Mo  0.500  0.500  0.000

***

Entry 3:
Crystalline Y5Ga2Sb at its relaxed geometry. Source: Alexandria, functional PBE-GGA.

Final energy = -5.99 eV per atom
Symmetry = I4/mcm, No. 140
Spin magnetization = 0.00 μB per formula unit
Formation energy without anion corrections = -0.679 eV/atom

a b c (Å): 8.639 8.639 8.639
angles (deg): 123.92 123.92 83.33
Fractional coordinates of all 16 atoms:
Y  0.000  0.000  0.000
Y  0.012  0.512  0.810
Y  0.202  0.012  0.500
Y  0.298  0.798  0.810
Y  0.488  0.298  0.500
Y  0.500  0.500  0.000
Y  0.512  0.702  0.500
Y  0.702  0.202  0.190
Y  0.798  0.988  0.500
Y  0.988  0.488  0.190
Ga  0.146  0.354  0.500
Ga  0.354  0.854  0.208
Ga  0.646  0.146  0.792
Ga  0.854  0.646  0.500
Sb  0.250  0.250  0.000
Sb  0.750  0.750  0.000

***

Entry 4:
Crystalline La6Pr12Y at its relaxed geometry. Source: Alexandria, functional PBE-GGA.

Final energy = -4.55 eV per atom
Symmetry = R-3m, No. 166
Spin magnetization = 0.00 μB per formula unit
Energy above the most stable polymorph in this dataset = 0.254 eV per atom

a b c (Å): 9.731 9.731 9.731
angles (deg): 109.18 109.18 109.18
Fractional coordinates of all 19 atoms:
La  0.218  0.675  0.675
La  0.325  0.325  0.782
La  0.325  0.782  0.325
La  0.675  0.218  0.675
La  0.675  0.675  0.218
La  0.782  0.325  0.325
Pr  0.108  0.500  0.892
Pr  0.108  0.892  0.500
Pr  0.181  0.386  0.386
Pr  0.386  0.181  0.386
Pr  0.386  0.386  0.181
Pr  0.500  0.108  0.892
Pr  0.500  0.892  0.108
Pr  0.614  0.614  0.819
Pr  0.614  0.819  0.614
Pr  0.819  0.614  0.614
Pr  0.892  0.108  0.500
Pr  0.892  0.500  0.108
Y  0.000  0.000  0.000

***

Entry 5:
Crystalline Al3Fe2Si3 at its relaxed geometry. Source: Alexandria, functional PBE-GGA.

Final energy = -5.91 eV per atom
Symmetry = P2_1/c, No. 14
Spin magnetization = 0.00 μB per formula unit
Energy above the most stable polymorph in this dataset = 0.000 eV per atom
Formation energy without anion corrections = -0.355 eV/atom

a b c (Å): 7.107 8.347 15.607
angles (deg): 90.00 113.23 90.00
Fractional coordinates of all 64 atoms:
Al  0.009  0.048  0.331
Al  0.009  0.452  0.831
Al  0.010  0.705  0.322
Al  0.010  0.795  0.822
Al  0.124  0.623  0.676
Al  0.124  0.877  0.176
Al  0.397  0.614  0.444
Al  0.397  0.886  0.944
Al  0.400  0.137  0.450
Al  0.400  0.363  0.950
Al  0.421  0.122  0.720
Al  0.421  0.378  0.220
Al  0.579  0.622  0.780
Al  0.579  0.878  0.280
Al  0.600  0.637  0.050
Al  0.600  0.863  0.550
Al  0.603  0.114  0.056
Al  0.603  0.386  0.556
Al  0.876  0.123  0.824
Al  0.876  0.377  0.324
Al  0.990  0.205  0.178
Al  0.990  0.295  0.678
Al  0.991  0.548  0.169
Al  0.991  0.952  0.669
Fe  0.202  0.627  0.965
Fe  0.202  0.873  0.465
Fe  0.204  0.123  0.970
Fe  0.204  0.377  0.470
Fe  0.325  0.636  0.271
Fe  0.325  0.864  0.771
Fe  0.328  0.118  0.273
Fe  0.328  0.382  0.773
Fe  0.672  0.618  0.227
Fe  0.672  0.882  0.727
Fe  0.675  0.136  0.229
Fe  0.675  0.364  0.729
Fe  0.796  0.623  0.530
Fe  0.796  0.877  0.030
Fe  0.798  0.127  0.535
Fe  0.798  0.373  0.035
Si  0.110  0.628  0.511
Si  0.110  0.872  0.011
Si  0.139  0.121  0.533
Si  0.139  0.379  0.033
Si  0.239  0.125  0.828
Si  0.239  0.375  0.328
Si  0.318  0.622  0.849
Si  0.318  0.878  0.349
Si  0.331  0.649  0.125
Si  0.331  0.851  0.625
Si  0.332  0.107  0.127
Si  0.332  0.393  0.627
Si  0.668  0.607  0.373
Si  0.668  0.893  0.873
Si  0.669  0.149  0.375
Si  0.669  0.351  0.875
Si  0.682  0.122  0.651
Si  0.682  0.378  0.151
Si  0.761  0.625  0.672
Si  0.761  0.875  0.172
Si  0.861  0.621  0.967
Si  0.861  0.879  0.467
Si  0.890  0.128  0.989
Si  0.890  0.372  0.489

***

Entry 6:
Crystalline Be2AuBr at its relaxed geometry. Source: Alexandria, functional PBE-GGA.

Final energy = -3.25 eV per atom
Symmetry = C2/m, No. 12
Spin magnetization = 0.00 μB per formula unit
Energy above the most stable polymorph in this dataset = 0.000 eV per atom
Formation energy without anion corrections = -0.146 eV/atom

a b c (Å): 4.225 4.225 6.456
angles (deg): 116.13 116.13 48.59
Fractional coordinates of all 4 atoms:
Be  0.153  0.153  0.387
Be  0.847  0.847  0.613
Au  0.500  0.500  0.500
Br  0.000  0.000  0.000

***

Entry 7:
Crystalline V2Ru4W at its relaxed geometry. Source: Alexandria, functional PBE-GGA.

Final energy = -9.82 eV per atom
Symmetry = P1, No. 1
Spin magnetization = 0.00 μB per formula unit
Energy above the most stable polymorph in this dataset = 0.000 eV per atom

a b c (Å): 4.935 6.815 6.972
angles (deg): 61.09 80.32 80.95
Fractional coordinates of all 14 atoms:
V  0.000  0.000  0.000
V  0.123  0.145  0.285
V  0.525  0.742  0.110
V  0.663  0.579  0.579
Ru  0.007  0.575  0.159
Ru  0.048  0.272  0.594
Ru  0.181  0.718  0.412
Ru  0.324  0.837  0.755
Ru  0.507  0.154  0.856
Ru  0.628  0.428  0.002
Ru  0.639  0.973  0.298
Ru  0.832  0.885  0.679
W  0.134  0.461  0.838
W  0.561  0.284  0.426

***

Entry 8:
Crystalline PuZnAs at its relaxed geometry. Source: Alexandria, functional PBE-GGA.

Final energy = -7.21 eV per atom
Symmetry = P-6m2, No. 187
Spin magnetization = 5.67 μB per formula unit

a b c (Å): 4.285 4.285 3.925
angles (deg): 90.00 90.00 120.00
Fractional coordinates of all 3 atoms:
Pu  0.000  0.000  0.000
Zn  0.667  0.333  0.500
As  0.333  0.667  0.500